Entry 1:
DFT (PBE) results for an optimized crystal structure of CeHfS2N.

abc: 3.767 3.767 13.220
angles: 90.00 90.00 90.00
Atoms (fractional coordinates):
S 0.500 0.000 0.899
S 0.000 0.500 0.101
S 0.500 0.000 0.284
S 0.000 0.500 0.716
N 0.500 0.500 0.500
N 0.000 0.000 0.500
Hf 0.500 0.000 0.102
Hf 0.000 0.500 0.898
Ce 0.500 0.000 0.592
Ce 0.000 0.500 0.408

Calculated values
As for the space group: P4/nmm (129). The energy comes out at -7.996 eV/atom. The uncorrected formation energy is -1.5026 eV per atom.

Entry 2:
DFT (PBE) results for an optimized crystal structure of Ni2PtRh.

abc: 4.522 4.522 2.685
angles: 90.00 90.00 106.80
Atoms (fractional coordinates):
Ni 0.000 0.000 0.000
Ni 0.500 0.500 0.000
Rh 0.000 0.500 0.500
Pt 0.500 0.000 0.500

Calculated values
As for the space group: Cmmm (65). The energy comes out at -6.258 eV/atom. The value obtained for the formation energy from the elements is -0.0194 eV/atom.

Entry 3:
DFT (PBE) results for an optimized crystal structure of LiGa2Os.

abc: 3.160 3.160 5.649
angles: 90.00 90.00 90.00
Atoms (fractional coordinates):
Ga 0.000 0.000 0.248
Ga 0.000 0.000 0.752
Li 0.500 0.500 0.500
Os 0.500 0.500 0.000

Calculated values
As for the space group: P4/mmm (123). The energy comes out at -4.992 eV/atom. The value obtained for the formation energy from the elements is -0.1926 eV/atom.

Q: Look up the energy of the second one.
A: -6.258 eV/atom

Copy entry 3 word for word.
DFT (PBE) results for an optimized crystal structure of LiGa2Os.

abc: 3.160 3.160 5.649
angles: 90.00 90.00 90.00
Atoms (fractional coordinates):
Ga 0.000 0.000 0.248
Ga 0.000 0.000 0.752
Li 0.500 0.500 0.500
Os 0.500 0.500 0.000

Calculated values
As for the space group: P4/mmm (123). The energy comes out at -4.992 eV/atom. The value obtained for the formation energy from the elements is -0.1926 eV/atom.

What did the first record say?
DFT (PBE) results for an optimized crystal structure of CeHfS2N.

abc: 3.767 3.767 13.220
angles: 90.00 90.00 90.00
Atoms (fractional coordinates):
S 0.500 0.000 0.899
S 0.000 0.500 0.101
S 0.500 0.000 0.284
S 0.000 0.500 0.716
N 0.500 0.500 0.500
N 0.000 0.000 0.500
Hf 0.500 0.000 0.102
Hf 0.000 0.500 0.898
Ce 0.500 0.000 0.592
Ce 0.000 0.500 0.408

Calculated values
As for the space group: P4/nmm (129). The energy comes out at -7.996 eV/atom. The uncorrected formation energy is -1.5026 eV per atom.